Entry 1:
CsMg2Tl9: optimized geometry, PBE-GGA.

a = 3.9444 Å, b = 10.6245 Å, c = 10.6245 Å
α = 120.00°, β = 90.00°, γ = 90.00°
Fractional coordinates of all 12 atoms:
Cs 0.0000 0.0000 0.0000
Mg 0.0000 0.6667 0.3333
Mg 0.0000 0.3333 0.6667
Tl 0.5000 0.8038 0.1962
Tl 0.0000 0.0000 0.5000
Tl 0.0000 0.5000 0.5000
Tl 0.5000 0.8038 0.6076
Tl 0.5000 0.1962 0.8038
Tl 0.5000 0.6076 0.8038
Tl 0.5000 0.1962 0.3924
Tl 0.0000 0.5000 0.0000
Tl 0.5000 0.3924 0.1962

The energy relative to the elements comes out at -0.0266 eV per atom. As for the space group: P6/mmm.



Entry 2:
LaGeOsO: optimized geometry, PBE-GGA.

a = 4.0349 Å, b = 4.0349 Å, c = 9.1775 Å
α = 90.00°, β = 90.00°, γ = 90.00°
Last column: magnetic moment on the atom in μB.
Fractional coordinates of all 8 atoms:
La 0.5000 0.0000 0.6353  0.00
La 0.0000 0.5000 0.3647  0.00
Ge 0.0000 0.5000 0.8349  0.00
Ge 0.5000 0.0000 0.1651  0.00
Os 0.5000 0.5000 0.0000  0.19
Os 0.0000 0.0000 0.0000  0.19
O 0.0000 0.0000 0.5000  0.00
O 0.5000 0.5000 0.5000  0.00

The raw formation energy is -1.528 eV per atom. As for the space group: P4/nmm.



Please write out number 1 again, unchanged.
CsMg2Tl9: optimized geometry, PBE-GGA.

a = 3.9444 Å, b = 10.6245 Å, c = 10.6245 Å
α = 120.00°, β = 90.00°, γ = 90.00°
Fractional coordinates of all 12 atoms:
Cs 0.0000 0.0000 0.0000
Mg 0.0000 0.6667 0.3333
Mg 0.0000 0.3333 0.6667
Tl 0.5000 0.8038 0.1962
Tl 0.0000 0.0000 0.5000
Tl 0.0000 0.5000 0.5000
Tl 0.5000 0.8038 0.6076
Tl 0.5000 0.1962 0.8038
Tl 0.5000 0.6076 0.8038
Tl 0.5000 0.1962 0.3924
Tl 0.0000 0.5000 0.0000
Tl 0.5000 0.3924 0.1962

The energy relative to the elements comes out at -0.0266 eV per atom. As for the space group: P6/mmm.



Which formula does entry 1 have? CsMg2Tl9